1.
! La3Pr5Th2 | Alexandria via LeMat-Bulk | GGA-PBE | relaxed; values from VASP
&SYSTEM
  ibrav = 0, nat = 20, ntyp = 3
/
ATOMIC_SPECIES
La 138.91 La.upf
Pr 140.91 Pr.upf
Th 232.04 Th.upf
CELL_PARAMETERS angstrom
5.6573 -7.2446 0.0000
5.6573 7.2446 0.0000
-5.6396 0.0000 8.6645
ATOMIC_POSITIONS crystal
La 0.0255 0.2755 0.0513
La 0.2373 0.7627 0.7500
La 0.2755 0.0255 0.5513
La 0.7245 0.9745 0.4487
La 0.7627 0.2373 0.2500
La 0.9745 0.7245 0.9487
Pr 0.0229 0.9771 0.7500
Pr 0.1306 0.3779 0.7541
Pr 0.2722 0.7278 0.2500
Pr 0.3779 0.1306 0.2541
Pr 0.4855 0.5145 0.2500
Pr 0.5145 0.4855 0.7500
Pr 0.6221 0.8694 0.7459
Pr 0.7278 0.2722 0.7500
Pr 0.8694 0.6221 0.2459
Pr 0.9771 0.0229 0.2500
Th 0.2176 0.4699 0.4409
Th 0.4699 0.2176 0.9409
Th 0.5301 0.7824 0.0591
Th 0.7824 0.5301 0.5591
! Energy of formation from the pure elements   19 kJ per mole of atoms
! Total moment   0.00 μB per formula unit

***

2.
! HoMn17Os | Alexandria via LeMat-Bulk | GGA-PBE | relaxed; values from VASP
&SYSTEM
  ibrav = 0, nat = 19, ntyp = 3
/
ATOMIC_SPECIES
Ho 164.93 Ho.upf
Mn 54.94 Mn.upf
Os 190.23 Os.upf
CELL_PARAMETERS angstrom
4.0342 2.3292 4.0498
-4.0342 2.3292 4.0498
0.0000 -4.6583 4.0498
ATOMIC_POSITIONS crystal
Ho 0.0000 0.0000 0.0000
Mn 0.0348 0.3618 0.6396
Mn 0.0348 0.6396 0.3618
Mn 0.2214 0.6867 0.6867
Mn 0.2508 0.2508 0.2508
Mn 0.3308 0.3308 0.8449
Mn 0.3308 0.8449 0.3308
Mn 0.3618 0.0348 0.6396
Mn 0.3618 0.6396 0.0348
Mn 0.4353 0.4353 0.4353
Mn 0.5146 0.9918 0.9918
Mn 0.6396 0.0348 0.3618
Mn 0.6396 0.3618 0.0348
Mn 0.6867 0.2214 0.6867
Mn 0.6867 0.6867 0.2214
Mn 0.8449 0.3308 0.3308
Mn 0.9918 0.5146 0.9918
Mn 0.9918 0.9918 0.5146
Os 0.6819 0.6819 0.6819
! Energy of formation from the pure elements   12 kJ per mole of atoms
! Total moment   2.08 μB per formula unit

***

3.
! Ho2CdIn4 | Alexandria via LeMat-Bulk | GGA-PBE | relaxed; values from VASP
&SYSTEM
  ibrav = 0, nat = 14, ntyp = 3
/
ATOMIC_SPECIES
Ho 164.93 Ho.upf
Cd 112.41 Cd.upf
In 114.82 In.upf
CELL_PARAMETERS angstrom
8.9141 0.0000 0.0000
0.0000 9.3212 0.0000
0.0000 0.0000 4.5063
ATOMIC_POSITIONS crystal
Ho 0.2392 0.0000 0.0000
Ho 0.2608 0.5000 0.0000
Ho 0.7392 0.5000 0.0000
Ho 0.7608 0.0000 0.0000
Cd 0.0000 0.5000 0.5000
Cd 0.5000 0.0000 0.5000
In 0.0000 0.2491 0.0000
In 0.0000 0.7509 0.0000
In 0.2500 0.2500 0.5000
In 0.2500 0.7500 0.5000
In 0.5000 0.2509 0.0000
In 0.5000 0.7491 0.0000
In 0.7500 0.2500 0.5000
In 0.7500 0.7500 0.5000
! Energy of formation from the pure elements   -25 kJ per mole of atoms
! Total moment   0.00 μB per formula unit

***

4.
! Ac2BiSbRh6 | Alexandria via LeMat-Bulk | GGA-PBE | relaxed; values from VASP
&SYSTEM
  ibrav = 0, nat = 10, ntyp = 4
/
ATOMIC_SPECIES
Ac 227.00 Ac.upf
Bi 208.98 Bi.upf
Sb 121.76 Sb.upf
Rh 102.91 Rh.upf
CELL_PARAMETERS angstrom
6.0859 0.0000 0.0000
2.5197 6.3320 0.0000
2.6554 2.5574 5.8765
ATOMIC_POSITIONS crystal
Ac 0.1497 0.3130 0.2666
Ac 0.8503 0.6870 0.7334
Bi 0.0000 0.0000 0.0000
Sb 0.5000 0.5000 0.5000
Rh 0.3118 0.6900 0.7965
Rh 0.4020 0.1054 0.6490
Rh 0.4364 0.7927 0.0988
Rh 0.5636 0.2073 0.9012
Rh 0.5980 0.8946 0.3510
Rh 0.6882 0.3100 0.2035
! E_form (uncorrected)   -0.4066 eV per atom
! Total moment   0.00 μB per formula unit

***

5.
! AcGdYHg | Alexandria via LeMat-Bulk | GGA-PBE | relaxed; values from VASP
&SYSTEM
  ibrav = 0, nat = 16, ntyp = 4
/
ATOMIC_SPECIES
Ac 227.00 Ac.upf
Gd 157.25 Gd.upf
Y 88.91 Y.upf
Hg 200.59 Hg.upf
CELL_PARAMETERS angstrom
7.9251 0.0000 0.0000
0.0000 7.9251 0.0000
0.0000 0.0000 7.9251
ATOMIC_POSITIONS crystal
Ac 0.0000 0.0000 0.0000
Ac 0.0000 0.5000 0.5000
Ac 0.5000 0.0000 0.5000
Ac 0.5000 0.5000 0.0000
Gd 0.2500 0.2500 0.2500
Gd 0.2500 0.7500 0.7500
Gd 0.7500 0.2500 0.7500
Gd 0.7500 0.7500 0.2500
Y 0.2500 0.2500 0.7500
Y 0.2500 0.7500 0.2500
Y 0.7500 0.2500 0.2500
Y 0.7500 0.7500 0.7500
Hg 0.0000 0.0000 0.5000
Hg 0.0000 0.5000 0.0000
Hg 0.5000 0.0000 0.0000
Hg 0.5000 0.5000 0.5000
! Energy of formation from the pure elements   2 kJ per mole of atoms
! Total moment   8.46 μB per formula unit

***

6.
! Ni6PtRh2 | Alexandria via LeMat-Bulk | GGA-PBE | relaxed; values from VASP
&SYSTEM
  ibrav = 0, nat = 9, ntyp = 3
/
ATOMIC_SPECIES
Ni 58.69 Ni.upf
Pt 195.08 Pt.upf
Rh 102.91 Rh.upf
CELL_PARAMETERS angstrom
4.0751 -1.8448 0.0000
4.0751 1.8448 0.0000
-2.3715 0.0000 7.3993
ATOMIC_POSITIONS crystal
Ni 0.0045 0.0045 0.3419
Ni 0.3365 0.3365 0.1180
Ni 0.3384 0.3384 0.4476
Ni 0.6616 0.6616 0.5524
Ni 0.6635 0.6635 0.8820
Ni 0.9955 0.9955 0.6581
Pt 0.0000 0.0000 0.0000
Rh 0.3241 0.3241 0.7659
Rh 0.6759 0.6759 0.2341
! Energy of formation from the pure elements   0 kJ per mole of atoms
! Total moment   6.24 μB per formula unit
! Excess energy over the best structure of this formula in the dataset   0.0000 eV/atom

***

7.
! Y2AuC | Alexandria via LeMat-Bulk | GGA-PBE | relaxed; values from VASP
&SYSTEM
  ibrav = 0, nat = 12, ntyp = 3
/
ATOMIC_SPECIES
Y 88.91 Y.upf
Au 196.97 Au.upf
C 12.01 C.upf
CELL_PARAMETERS angstrom
3.7075 0.0000 0.0000
-1.8538 3.2108 0.0000
0.0000 0.0000 21.1081
ATOMIC_POSITIONS crystal
Y 0.0000 0.0000 0.2296
Y 0.0000 0.0000 0.7704
Y 0.3333 0.6667 0.4371
Y 0.3333 0.6667 0.8963
Y 0.6667 0.3333 0.1037
Y 0.6667 0.3333 0.5629
Au 0.0000 0.0000 0.0000
Au 0.3333 0.6667 0.6667
Au 0.6667 0.3333 0.3333
C 0.0000 0.0000 0.5000
C 0.3333 0.6667 0.1667
C 0.6667 0.3333 0.8333
! Energy of formation from the pure elements   -49 kJ per mole of atoms
! Total moment   0.13 μB per formula unit

***

8.
! Sc3ZnPt3 | Alexandria via LeMat-Bulk | GGA-PBE | relaxed; values from VASP
&SYSTEM
  ibrav = 0, nat = 14, ntyp = 3
/
ATOMIC_SPECIES
Sc 44.96 Sc.upf
Zn 65.41 Zn.upf
Pt 195.08 Pt.upf
CELL_PARAMETERS angstrom
2.0521 -4.8853 0.0000
2.0521 4.8853 0.0000
0.0000 0.0000 13.0823
ATOMIC_POSITIONS crystal
Sc 0.0409 0.9591 0.7500
Sc 0.3100 0.6900 0.6084
Sc 0.3100 0.6900 0.8916
Sc 0.6900 0.3100 0.1084
Sc 0.6900 0.3100 0.3916
Sc 0.9591 0.0409 0.2500
Zn 0.0000 0.0000 0.0000
Zn 0.0000 0.0000 0.5000
Pt 0.2276 0.7724 0.2500
Pt 0.4019 0.5981 0.0908
Pt 0.4019 0.5981 0.4092
Pt 0.5981 0.4019 0.5908
Pt 0.5981 0.4019 0.9092
Pt 0.7724 0.2276 0.7500
! Energy of formation from the pure elements   -100 kJ per mole of atoms
! Total moment   0.00 μB per formula unit